{
  "formula": "CrRh6W3",
  "functional": "PBE",
  "state": "optimized geometry",
  "formation_enthalpy_0k_ev_per_atom": -0.185,
  "lattice_angstrom": [[7.283, 0.000, 0.000], [0.000, 4.389, 0.000], [-3.031, 0.000, 9.005]],
  "species": ["Cr", "Cr", "Rh", "Rh", "Rh", "Rh", "Rh", "Rh", "Rh", "Rh", "Rh", "Rh", "Rh", "Rh", "W", "W", "W", "W", "W", "W"],
  "fractional_positions": [[0.094, 0.250, 0.064], [0.906, 0.750, 0.936], [0.093, 0.750, 0.225], [0.102, 0.250, 0.569], [0.289, 0.750, 0.032], [0.298, 0.250, 0.362], [0.499, 0.250, 0.666], [0.499, 0.750, 0.830], [0.501, 0.250, 0.170], [0.501, 0.750, 0.334], [0.702, 0.750, 0.638], [0.711, 0.250, 0.968], [0.898, 0.750, 0.431], [0.907, 0.250, 0.775], [0.093, 0.750, 0.739], [0.299, 0.750, 0.531], [0.305, 0.250, 0.874], [0.695, 0.750, 0.126], [0.701, 0.250, 0.469], [0.907, 0.250, 0.261]]
}

{
  "formula": "Pr2ScGa",
  "functional": "PBE",
  "state": "optimized geometry",
  "formation_enthalpy_0k_ev_per_atom": -0.188,
  "e_above_lowest_polymorph_mev_per_atom": 38.2,
  "lattice_angstrom": [[3.836, 0.000, 0.000], [0.000, 3.836, 0.000], [0.000, 0.000, 7.639]],
  "species": ["Pr", "Pr", "Sc", "Ga"],
  "fractional_positions": [[0.000, 0.000, 0.227], [0.000, 0.000, 0.773], [0.500, 0.500, 0.500], [0.500, 0.500, 0.000]]
}

{
  "formula": "PmHoInGa",
  "functional": "PBE",
  "state": "optimized geometry",
  "formation_enthalpy_0k_ev_per_atom": -0.500,
  "e_above_lowest_polymorph_mev_per_atom": 22.6,
  "lattice_angstrom": [[7.427, 0.000, 0.000], [0.000, 7.427, 0.000], [0.000, 0.000, 7.427]],
  "species": ["Pm", "Pm", "Pm", "Pm", "Ho", "Ho", "Ho", "Ho", "In", "In", "In", "In", "Ga", "Ga", "Ga", "Ga"],
  "fractional_positions": [[0.000, 0.000, 0.000], [0.000, 0.500, 0.500], [0.500, 0.000, 0.500], [0.500, 0.500, 0.000], [0.000, 0.000, 0.500], [0.000, 0.500, 0.000], [0.500, 0.000, 0.000], [0.500, 0.500, 0.500], [0.250, 0.250, 0.750], [0.250, 0.750, 0.250], [0.750, 0.250, 0.250], [0.750, 0.750, 0.750], [0.250, 0.250, 0.250], [0.250, 0.750, 0.750], [0.750, 0.250, 0.750], [0.750, 0.750, 0.250]]
}

{
  "formula": "ZrTlRe",
  "functional": "PBE",
  "state": "optimized geometry",
  "formation_enthalpy_0k_ev_per_atom": 1.016,
  "e_above_lowest_polymorph_mev_per_atom": 800.6,
  "lattice_angstrom": [[6.584, 0.000, 0.000], [0.000, 6.584, 0.000], [0.000, 0.000, 6.584]],
  "species": ["Zr", "Zr", "Zr", "Zr", "Tl", "Tl", "Tl", "Tl", "Re", "Re", "Re", "Re"],
  "fractional_positions": [[0.000, 0.000, 0.000], [0.000, 0.500, 0.500], [0.500, 0.000, 0.500], [0.500, 0.500, 0.000], [0.250, 0.250, 0.750], [0.250, 0.750, 0.250], [0.750, 0.250, 0.250], [0.750, 0.750, 0.750], [0.250, 0.250, 0.250], [0.250, 0.750, 0.750], [0.750, 0.250, 0.750], [0.750, 0.750, 0.250]]
}

{
  "formula": "Pm3Si4Pt2",
  "functional": "PBE",
  "state": "optimized geometry",
  "e_above_lowest_polymorph_mev_per_atom": 69.3,
  "lattice_angstrom": [[5.465, -2.112, 0.000], [5.465, 2.112, 0.000], [-2.868, 0.000, 7.963]],
  "species": ["Pm", "Pm", "Pm", "Si", "Si", "Si", "Si", "Pt", "Pt"],
  "fractional_positions": [[0.000, 0.000, 0.000], [0.383, 0.383, 0.312], [0.617, 0.617, 0.688], [0.127, 0.127, 0.422], [0.271, 0.271, 0.938], [0.729, 0.729, 0.062], [0.873, 0.873, 0.578], [0.333, 0.333, 0.690], [0.667, 0.667, 0.310]]
}

{
  "formula": "AlReHg",
  "functional": "PBE",
  "state": "optimized geometry",
  "formation_enthalpy_0k_ev_per_atom": 0.499,
  "e_above_lowest_polymorph_mev_per_atom": 103.0,
  "lattice_angstrom": [[3.011, 0.000, 0.000], [0.000, 4.916, 0.000], [0.000, 0.000, 14.081]],
  "species": ["Al", "Al", "Al", "Al", "Re", "Re", "Re", "Re", "Hg", "Hg", "Hg", "Hg"],
  "fractional_positions": [[0.000, 0.000, 0.000], [0.000, 0.500, 0.500], [0.500, 0.000, 0.500], [0.500, 0.500, 0.000], [0.000, 0.000, 0.355], [0.000, 0.500, 0.855], [0.500, 0.000, 0.855], [0.500, 0.500, 0.355], [0.000, 0.000, 0.675], [0.000, 0.500, 0.175], [0.500, 0.000, 0.175], [0.500, 0.500, 0.675]]
}

{
  "formula": "FeAs2Ir",
  "functional": "PBE",
  "state": "optimized geometry",
  "formation_enthalpy_0k_ev_per_atom": 0.150,
  "e_above_lowest_polymorph_mev_per_atom": 145.9,
  "lattice_angstrom": [[5.369, 0.000, 0.000], [0.000, 5.369, 0.000], [0.000, 0.000, 10.805]],
  "species": ["Fe", "Fe", "Fe", "Fe", "As", "As", "As", "As", "As", "As", "As", "As", "Ir", "Ir", "Ir", "Ir"],
  "fractional_positions": [[0.000, 0.000, 0.000], [0.000, 0.500, 0.250], [0.500, 0.000, 0.750], [0.500, 0.500, 0.500], [0.230, 0.250, 0.125], [0.250, 0.730, 0.375], [0.250, 0.770, 0.875], [0.270, 0.250, 0.625], [0.730, 0.750, 0.625], [0.750, 0.230, 0.875], [0.750, 0.270, 0.375], [0.770, 0.750, 0.125], [0.000, 0.000, 0.500], [0.000, 0.500, 0.750], [0.500, 0.000, 0.250], [0.500, 0.500, 0.000]]
}

{
  "formula": "Ti2BRu",
  "functional": "PBE",
  "state": "optimized geometry",
  "formation_enthalpy_0k_ev_per_atom": -0.243,
  "lattice_angstrom": [[4.009, 0.000, 0.000], [0.000, 4.009, 0.000], [0.000, 0.000, 3.243]],
  "species": ["Ti", "Ti", "B", "Ru"],
  "fractional_positions": [[0.000, 0.500, 0.000], [0.500, 0.000, 0.000], [0.000, 0.000, 0.500], [0.500, 0.500, 0.500]]
}

{
  "formula": "Mn2VPt4",
  "functional": "PBE",
  "state": "optimized geometry",
  "formation_enthalpy_0k_ev_per_atom": -0.325,
  "lattice_angstrom": [[7.528, 0.000, 0.000], [0.000, 7.713, 0.000], [0.000, 0.000, 3.908]],
  "species": ["Mn", "Mn", "Mn", "Mn", "V", "V", "Pt", "Pt", "Pt", "Pt", "Pt", "Pt", "Pt", "Pt"],
  "fractional_positions": [[0.000, 0.214, 0.000], [0.000, 0.786, 0.000], [0.500, 0.286, 0.000], [0.500, 0.714, 0.000], [0.000, 0.500, 0.500], [0.500, 0.000, 0.500], [0.224, 0.500, 0.000], [0.250, 0.250, 0.500], [0.250, 0.750, 0.500], [0.276, 0.000, 0.000], [0.724, 0.000, 0.000], [0.750, 0.250, 0.500], [0.750, 0.750, 0.500], [0.776, 0.500, 0.000]]
}

{
  "formula": "Y2Ga3HgPt4",
  "functional": "PBE",
  "state": "optimized geometry",
  "formation_enthalpy_0k_ev_per_atom": -0.840,
  "lattice_angstrom": [[4.062, 0.000, 0.000], [0.000, 4.062, 0.000], [0.000, 0.000, 11.800]],
  "species": ["Y", "Y", "Ga", "Ga", "Ga", "Hg", "Pt", "Pt", "Pt", "Pt"],
  "fractional_positions": [[0.000, 0.500, 0.249], [0.500, 0.000, 0.751], [0.000, 0.500, 0.872], [0.500, 0.000, 0.128], [0.500, 0.500, 0.500], [0.000, 0.000, 0.500], [0.000, 0.000, 0.000], [0.000, 0.500, 0.665], [0.500, 0.000, 0.335], [0.500, 0.500, 0.000]]
}

{
  "formula": "AlHg3Te2F6",
  "functional": "PBE",
  "state": "optimized geometry",
  "e_tot_ev_per_atom": -3.5665,
  "lattice_angstrom": [[6.306, -3.182, 0.000], [6.306, 3.182, 0.000], [-0.444, 0.000, 5.771]],
  "species": ["Al", "Hg", "Hg", "Hg", "Te", "Te", "F", "F", "F", "F", "F", "F"],
  "fractional_positions": [[0.000, 0.000, 0.000], [0.000, 0.500, 0.000], [0.500, 0.000, 0.000], [0.500, 0.500, 0.500], [0.284, 0.284, 0.407], [0.716, 0.716, 0.593], [0.108, 0.108, 0.801], [0.135, 0.722, 0.827], [0.278, 0.865, 0.173], [0.722, 0.135, 0.827], [0.865, 0.278, 0.173], [0.892, 0.892, 0.199]]
}

{
  "formula": "NdGePd4",
  "functional": "PBE",
  "state": "optimized geometry",
  "formation_enthalpy_0k_ev_per_atom": -0.662,
  "e_above_lowest_polymorph_mev_per_atom": 0.0,
  "lattice_angstrom": [[7.774, 0.000, 0.000], [0.000, 3.978, 0.000], [0.000, 0.000, 7.072]],
  "species": ["Nd", "Nd", "Ge", "Ge", "Pd", "Pd", "Pd", "Pd", "Pd", "Pd", "Pd", "Pd"],
  "fractional_positions": [[0.250, 0.000, 0.139], [0.750, 0.000, 0.861], [0.250, 0.000, 0.714], [0.750, 0.000, 0.286], [0.000, 0.000, 0.500], [0.056, 0.500, 0.805], [0.250, 0.500, 0.453], [0.444, 0.500, 0.805], [0.500, 0.000, 0.500], [0.556, 0.500, 0.195], [0.750, 0.500, 0.547], [0.944, 0.500, 0.195]]
}